Density functional theory data (PBE) for a geometry-optimized Er2Cd6In structure.

Cell lengths 6.014, 6.014, 6.014 Å; angles 93.43, 93.43, 93.43 degrees
Positions (direct):
Er  0.172  0.172  0.172
Er  0.828  0.828  0.828
Cd  0.000  0.332  0.668
Cd  0.000  0.668  0.332
Cd  0.332  0.000  0.668
Cd  0.332  0.668  0.000
Cd  0.668  0.000  0.332
Cd  0.668  0.332  0.000
In  0.500  0.500  0.500

## Properties
Magnetic moment (μB/f.u.): 0.000
VASP energy (eV per atom): -2.135
Theoretical density (g/cm³): 8.6
DFT formation energy (eV per atom): -0.2071